No. 1
{
  "formula": "NiI",
  "functional": "GGA-PBE",
  "state": "optimized geometry",
  "lattice_angstrom": [[8.170, 0.000, 0.000], [0.000, 12.007, 0.000], [0.000, 0.000, 7.927]],
  "species": ["I", "Ni", "Ni", "Ni", "I", "Ni", "Ni", "I", "I", "Ni", "Ni", "Ni", "I", "Ni", "I", "Ni", "I", "Ni", "Ni", "Ni", "I", "Ni", "I", "I", "I", "I", "I", "Ni", "I", "I", "I", "Ni"],
  "fractional_positions": [[0.267, 0.000, 0.000], [0.750, 0.858, 0.750], [0.750, 0.358, 0.250], [0.000, 0.608, 0.500], [0.983, 0.750, 0.250], [0.000, 0.108, 0.000], [0.250, 0.142, 0.750], [0.733, 0.500, 0.500], [0.483, 0.250, 0.250], [0.750, 0.142, 0.250], [0.500, 0.892, 0.500], [0.750, 0.642, 0.750], [0.267, 0.500, 0.500], [0.000, 0.392, 0.500], [0.767, 0.500, 0.000], [0.500, 0.392, 0.000], [0.233, 0.000, 0.500], [0.500, 0.108, 0.500], [0.250, 0.858, 0.250], [0.250, 0.358, 0.750], [0.017, 0.750, 0.750], [0.000, 0.892, 0.000], [0.733, 0.000, 0.000], [0.017, 0.250, 0.250], [0.517, 0.750, 0.250], [0.517, 0.250, 0.750], [0.483, 0.750, 0.750], [0.250, 0.642, 0.250], [0.983, 0.250, 0.750], [0.233, 0.500, 0.000], [0.767, 0.000, 0.500], [0.500, 0.608, 0.000]],
  "spacegroup": "Fddd (70)",
  "formation_energy_uncorrected_ev_per_atom": 0.156
}

=====

No. 2
{
  "formula": "BaVCr2",
  "functional": "GGA-PBE",
  "state": "optimized geometry",
  "lattice_angstrom": [[2.411, -3.449, 2.695], [-2.280, -4.284, 1.190], [1.448, -4.278, -2.138]],
  "species": ["Ba", "V", "Cr", "Cr"],
  "fractional_positions": [[0.500, 0.500, 0.500], [0.000, 0.000, 0.000], [0.250, 0.250, 0.250], [0.750, 0.750, 0.750]],
  "de_polymorph_ev_per_atom": 0.000,
  "formation_energy_ev_per_atom": 1.131,
  "spacegroup": "Fm-3m (225)"
}

=====

No. 3
{
  "formula": "CaAl3Fe",
  "functional": "GGA-PBE",
  "state": "optimized geometry",
  "lattice_angstrom": [[4.569, 0.000, 0.000], [0.000, 4.569, 0.000], [0.000, 0.000, 4.569]],
  "species": ["Ca", "Al", "Al", "Fe", "Al"],
  "fractional_positions": [[0.500, 0.500, 0.500], [0.000, 0.000, 0.500], [0.000, 0.500, 0.000], [0.000, 0.000, 0.000], [0.500, 0.000, 0.000]],
  "de_polymorph_ev_per_atom": 0.000,
  "formation_energy_ev_per_atom": -0.249,
  "spacegroup": "Pm-3m (221)"
}

=====

No. 4
{
  "formula": "Sr2MgCo",
  "functional": "GGA-PBE",
  "state": "optimized geometry",
  "lattice_angstrom": [[-3.004, -2.223, -0.447], [1.099, -0.780, -3.511], [4.463, -6.606, 2.865]],
  "species": ["Sr", "Mg", "Sr", "Co"],
  "fractional_positions": [[0.000, 0.000, 0.457], [0.500, 0.500, 0.750], [0.000, 0.000, 0.043], [0.500, 0.500, 0.250]],
  "formation_energy_ev_per_atom": 0.310,
  "spacegroup": "P4/mmm (123)"
}

=====

No. 5
{
  "formula": "RbPuReO6",
  "functional": "GGA-PBE",
  "state": "optimized geometry",
  "lattice_angstrom": [[-5.706, -2.831, -4.391], [4.407, -5.625, -2.100], [-1.110, 1.289, 7.427]],
  "species": ["Re", "O", "O", "O", "O", "Rb", "O", "O", "Pu", "O", "Pu", "O", "O", "O", "O", "O", "Rb", "Re"],
  "fractional_positions": [[0.500, 0.000, 0.000], [0.554, 0.919, 0.758], [0.540, 0.290, 0.080], [0.446, 0.661, 0.242], [0.554, 0.339, 0.758], [0.128, 0.378, 0.255], [0.173, 0.923, 0.346], [0.827, 0.077, 0.654], [0.000, 0.000, 0.500], [0.204, 0.919, 0.758], [0.500, 0.000, 0.500], [0.796, 0.661, 0.242], [0.460, 0.710, 0.920], [0.446, 0.081, 0.242], [0.204, 0.339, 0.758], [0.796, 0.081, 0.242], [0.872, 0.622, 0.745], [0.500, 0.500, 0.000]],
  "spacegroup": "Imma (74)",
  "formation_energy_uncorrected_ev_per_atom": -2.134
}

=====

No. 6
{
  "formula": "Pm4Pr10Y",
  "functional": "GGA-PBE",
  "state": "optimized geometry",
  "lattice_angstrom": [[-9.264, 5.114, 3.480], [-8.182, -3.672, 1.444], [-2.822, 1.203, 8.550]],
  "species": ["Pr", "Pr", "Pr", "Pr", "Pr", "Pr", "Pr", "Pr", "Pm", "Pr", "Pm", "Y", "Pm", "Pr", "Pm"],
  "fractional_positions": [[0.955, 0.653, 0.105], [0.250, 0.500, 0.500], [0.045, 0.347, 0.895], [0.713, 0.347, 0.895], [0.392, 0.895, 0.653], [0.940, 0.105, 0.347], [0.060, 0.895, 0.653], [0.608, 0.105, 0.347], [0.558, 0.660, 0.224], [0.287, 0.653, 0.105], [0.782, 0.776, 0.660], [0.000, 0.000, 0.000], [0.218, 0.224, 0.340], [0.750, 0.500, 0.500], [0.442, 0.340, 0.776]],
  "formation_energy_ev_per_atom": 0.393,
  "spacegroup": "I4/m (87)"
}

=====

No. 7
{
  "formula": "Th2BeZn3Ni12",
  "functional": "GGA-PBE",
  "state": "optimized geometry",
  "lattice_angstrom": [[-3.343, -1.157, 7.723], [2.878, -1.880, 7.768], [0.395, 3.865, 7.554]],
  "species": ["Ni", "Ni", "Ni", "Ni", "Ni", "Ni", "Th", "Zn", "Ni", "Zn", "Ni", "Be", "Ni", "Ni", "Th", "Ni", "Ni", "Zn"],
  "fractional_positions": [[0.424, 0.810, 0.424], [0.923, 0.340, 0.923], [0.576, 0.190, 0.576], [0.077, 0.660, 0.077], [0.810, 0.424, 0.424], [0.660, 0.077, 0.077], [0.344, 0.344, 0.344], [0.000, 0.000, 0.500], [0.340, 0.923, 0.923], [0.500, 0.000, 0.000], [0.923, 0.923, 0.340], [0.000, 0.000, 0.000], [0.576, 0.576, 0.190], [0.190, 0.576, 0.576], [0.656, 0.656, 0.656], [0.424, 0.424, 0.810], [0.077, 0.077, 0.660], [0.000, 0.500, 0.000]],
  "formation_energy_ev_per_atom": -0.011,
  "spacegroup": "R-3m (166)"
}

=====

No. 8
{
  "formula": "Ta2Be15Ni2",
  "functional": "GGA-PBE",
  "state": "optimized geometry",
  "lattice_angstrom": [[5.566, -0.024, 0.701], [0.615, 5.532, 0.701], [-0.027, -0.024, 5.610]],
  "species": ["Ta", "Be", "Be", "Be", "Be", "Ni", "Be", "Be", "Be", "Ta", "Be", "Be", "Ni", "Be", "Be", "Be", "Be", "Be", "Be"],
  "fractional_positions": [[0.347, 0.347, 0.347], [0.288, 0.000, 0.712], [0.000, 0.712, 0.288], [0.160, 0.653, 0.653], [0.840, 0.347, 0.347], [0.109, 0.109, 0.109], [0.653, 0.653, 0.160], [0.653, 0.160, 0.653], [0.288, 0.712, 0.000], [0.653, 0.653, 0.653], [0.000, 0.288, 0.712], [0.500, 0.000, 0.000], [0.891, 0.891, 0.891], [0.000, 0.000, 0.500], [0.712, 0.288, 0.000], [0.347, 0.347, 0.840], [0.347, 0.840, 0.347], [0.712, 0.000, 0.288], [0.000, 0.500, 0.000]],
  "formation_energy_ev_per_atom": -0.260,
  "spacegroup": "R-3m (166)"
}

=====

No. 9
{
  "formula": "TlCdO3",
  "functional": "GGA-PBE",
  "state": "optimized geometry",
  "lattice_angstrom": [[4.169, 0.000, 0.000], [0.000, 4.169, 0.000], [0.000, 0.000, 4.169]],
  "species": ["O", "O", "Cd", "O", "Tl"],
  "fractional_positions": [[0.500, 0.000, 0.000], [0.000, 0.000, 0.500], [0.500, 0.500, 0.500], [0.000, 0.500, 0.000], [0.000, 0.000, 0.000]],
  "spacegroup": "Pm-3m (221)",
  "formation_energy_uncorrected_ev_per_atom": -0.059
}

=====

No. 10
{
  "formula": "OsPb2Se",
  "functional": "GGA-PBE",
  "state": "optimized geometry",
  "lattice_angstrom": [[-0.017, 2.192, -2.273], [-2.652, 1.223, 1.200], [5.227, 5.844, 5.595]],
  "species": ["Se", "Os", "Pb", "Pb"],
  "fractional_positions": [[0.000, 0.000, 0.581], [0.500, 0.500, 0.709], [0.000, 0.000, 0.950], [0.500, 0.500, 0.260]],
  "spacegroup": "P4mm (99)",
  "formation_energy_uncorrected_ev_per_atom": 0.346
}

=====

No. 11
{
  "formula": "PrDy2Er2Sc2",
  "functional": "GGA-PBE",
  "state": "optimized geometry",
  "lattice_angstrom": [[-0.975, -0.905, -3.117], [8.729, 0.211, -0.949], [-3.115, -6.961, 2.997]],
  "species": ["Dy", "Sc", "Dy", "Er", "Er", "Sc", "Pr"],
  "fractional_positions": [[0.573, 0.146, 0.918], [0.348, 0.696, 0.606], [0.427, 0.854, 0.082], [0.787, 0.575, 0.208], [0.213, 0.425, 0.792], [0.652, 0.304, 0.394], [0.000, 0.000, 0.500]],
  "formation_energy_ev_per_atom": 0.185,
  "spacegroup": "C2/m (12)"
}

=====

No. 12
{
  "formula": "Th2Tl3AgSe6",
  "functional": "GGA-PBE",
  "state": "optimized geometry",
  "lattice_angstrom": [[-0.996, -0.962, 4.081], [-6.255, -5.842, -2.903], [9.537, -3.845, -0.854]],
  "species": ["Se", "Th", "Se", "Tl", "Se", "Se", "Ag", "Se", "Th", "Tl", "Se", "Tl"],
  "fractional_positions": [[0.990, 0.776, 0.980], [0.157, 0.302, 0.315], [0.678, 0.543, 0.357], [0.843, 0.187, 0.686], [0.010, 0.224, 0.020], [0.669, 0.097, 0.338], [0.500, 0.000, 0.000], [0.331, 0.903, 0.662], [0.843, 0.698, 0.685], [0.157, 0.813, 0.314], [0.322, 0.457, 0.643], [0.500, 0.500, 0.000]],
  "spacegroup": "C2/m (12)",
  "formation_energy_uncorrected_ev_per_atom": -1.024
}

=====

No. 13
{
  "formula": "Sr2TlAuO4",
  "functional": "GGA-PBE",
  "state": "optimized geometry",
  "lattice_angstrom": [[-2.406, 5.268, -2.046], [-1.988, -2.854, 5.063], [5.526, -0.356, 2.659]],
  "species": ["O", "O", "Tl", "O", "O", "Sr", "Sr", "Au"],
  "fractional_positions": [[0.503, 0.902, 0.868], [0.497, 0.366, 0.399], [0.500, 0.250, 0.750], [0.034, 0.132, 0.634], [0.966, 0.601, 0.098], [0.500, 0.750, 0.250], [0.000, 0.000, 0.000], [0.000, 0.500, 0.500]],
  "spacegroup": "I-4 (82)",
  "formation_energy_uncorrected_ev_per_atom": -1.357
}

=====

No. 14
{
  "formula": "RbCd2Hg9",
  "functional": "GGA-PBE",
  "state": "optimized geometry",
  "lattice_angstrom": [[3.423, 0.000, 0.000], [0.000, 10.683, 0.000], [0.000, -5.342, 9.252]],
  "species": ["Rb", "Cd", "Cd", "Hg", "Hg", "Hg", "Hg", "Hg", "Hg", "Hg", "Hg", "Hg"],
  "fractional_positions": [[0.000, 0.000, 0.000], [0.000, 0.667, 0.333], [0.000, 0.333, 0.667], [0.500, 0.819, 0.639], [0.500, 0.639, 0.819], [0.000, 0.500, 0.000], [0.500, 0.181, 0.361], [0.000, 0.000, 0.500], [0.500, 0.181, 0.819], [0.500, 0.361, 0.181], [0.000, 0.500, 0.500], [0.500, 0.819, 0.181]],
  "formation_energy_ev_per_atom": -0.055,
  "spacegroup": "P6/mmm (191)"
}

=====

No. 15
{
  "formula": "Tb2Mn2Ga2C",
  "functional": "GGA-PBE",
  "state": "optimized geometry",
  "lattice_angstrom": [[3.656, 0.000, 0.000], [1.828, 5.367, 0.060], [1.828, 1.189, 5.991]],
  "species": ["C", "Mn", "Ga", "Tb", "Mn", "Tb", "Ga"],
  "fractional_positions": [[0.000, 0.000, 0.000], [0.195, 0.670, 0.940], [0.857, 0.610, 0.676], [0.566, 0.149, 0.718], [0.805, 0.330, 0.060], [0.434, 0.851, 0.282], [0.143, 0.390, 0.324]],
  "formation_energy_ev_per_atom": -0.405,
  "spacegroup": "C2/m (12)"
}

=====

No. 16
{
  "formula": "RbNdCuCl5",
  "functional": "GGA-PBE",
  "state": "optimized geometry",
  "lattice_angstrom": [[7.543, 0.016, -0.063], [-2.187, 7.219, -0.063], [-2.297, -3.103, 9.520]],
  "species": ["Cl", "Rb", "Cl", "Cu", "Cl", "Cl", "Nd", "Cl", "Cl", "Cl", "Rb", "Nd", "Cl", "Cu", "Cl", "Cl"],
  "fractional_positions": [[0.689, 0.099, 0.384], [0.351, 0.649, 0.250], [0.311, 0.901, 0.616], [0.689, 0.311, 0.250], [0.918, 0.082, 0.750], [0.616, 0.759, 0.920], [0.000, 0.000, 0.000], [0.384, 0.241, 0.080], [0.759, 0.616, 0.420], [0.241, 0.384, 0.580], [0.649, 0.351, 0.750], [0.000, 0.000, 0.500], [0.099, 0.689, 0.884], [0.311, 0.689, 0.750], [0.901, 0.311, 0.116], [0.082, 0.918, 0.250]],
  "spacegroup": "C2/c (15)",
  "formation_energy_uncorrected_ev_per_atom": -1.732
}

=====

No. 17
{
  "formula": "Ca2LaSe",
  "functional": "GGA-PBE",
  "state": "optimized geometry",
  "lattice_angstrom": [[-2.266, 2.558, 2.206], [-3.701, -1.661, -1.876], [-2.322, -6.012, 4.585]],
  "species": ["Se", "La", "Ca", "Ca"],
  "fractional_positions": [[0.500, 0.981, 0.663], [0.000, 0.520, 0.585], [0.500, 0.177, 0.272], [0.000, 0.822, 0.980]],
  "spacegroup": "Amm2 (38)",
  "formation_energy_uncorrected_ev_per_atom": -0.828
}

=====

No. 18
{
  "formula": "Sc2BeP",
  "functional": "GGA-PBE",
  "state": "optimized geometry",
  "lattice_angstrom": [[1.856, 0.000, 8.891], [-0.928, 1.607, 8.891], [-0.928, -1.607, 8.891]],
  "species": ["P", "Sc", "Sc", "Be"],
  "fractional_positions": [[0.000, 0.000, 0.000], [0.904, 0.904, 0.904], [0.096, 0.096, 0.096], [0.500, 0.500, 0.500]],
  "de_polymorph_ev_per_atom": 1.095,
  "formation_energy_ev_per_atom": 0.247,
  "spacegroup": "R-3m (166)"
}

=====

No. 19
{
  "formula": "PmNd2Co2",
  "functional": "GGA-PBE",
  "state": "optimized geometry",
  "lattice_angstrom": [[-1.146, 3.716, 1.498], [-3.697, -1.471, 0.820], [4.110, -1.245, 6.231]],
  "species": ["Co", "Pm", "Nd", "Co", "Nd"],
  "fractional_positions": [[0.000, 0.213, 0.426], [0.000, 0.000, 0.000], [0.500, 0.353, 0.707], [0.000, 0.787, 0.574], [0.500, 0.647, 0.293]],
  "de_polymorph_ev_per_atom": 0.000,
  "formation_energy_ev_per_atom": -0.024,
  "spacegroup": "Cmmm (65)"
}

=====

No. 20
{
  "formula": "Ca5Bi3O",
  "functional": "GGA-PBE",
  "state": "optimized geometry",
  "lattice_angstrom": [[7.640, 0.000, -3.605], [-1.701, 7.448, -3.605], [-0.203, -0.255, 9.467]],
  "species": ["Ca", "Bi", "Bi", "O", "Bi", "Ca", "Bi", "Ca", "Ca", "O", "Ca", "Ca", "Bi", "Bi", "Ca", "Ca", "Ca", "Ca"],
  "fractional_positions": [[0.299, 0.799, 0.309], [0.750, 0.750, 0.500], [0.851, 0.649, 0.000], [0.750, 0.250, 0.500], [0.649, 0.149, 0.000], [0.010, 0.510, 0.309], [0.250, 0.250, 0.500], [0.500, 0.500, 0.000], [0.701, 0.201, 0.691], [0.250, 0.750, 0.500], [0.990, 0.490, 0.691], [0.799, 0.010, 0.309], [0.351, 0.851, 0.000], [0.149, 0.351, 0.000], [0.201, 0.990, 0.691], [0.000, 0.000, 0.000], [0.490, 0.701, 0.691], [0.510, 0.299, 0.309]],
  "spacegroup": "I4/mcm (140)",
  "formation_energy_uncorrected_ev_per_atom": -1.342
}